# 1
This record from Alexandria describes an optimized crystal structure of Pm4Zn2Sb. The functional is PBE.

Summary:
As for the total magnetic moment: 0.0 μB per formula unit. As for the density of states at the Fermi level: 6.90 states/eV/cell. Its formation energy (no corrections) is -0.340 eV per atom.

Lattice parameters (Å, degrees): 9.0928 9.0928 9.0928 32.97 32.97 32.97
Closest atoms and distances in Å follow each position.
Fractional positions:
Pm  0.1180  0.1180  0.1180  4 Zn 3.14-3.51, 3 Sb 3.23
Pm  0.3688  0.3688  0.3688  4 Zn 2.95-3.18
Pm  0.6312  0.6312  0.6312  4 Zn 2.95-3.18
Pm  0.8820  0.8820  0.8820  4 Zn 3.14-3.51, 3 Sb 3.23
Zn  0.2542  0.2542  0.2542  7 Pm 2.95-3.18
Zn  0.7458  0.7458  0.7458  7 Pm 2.95-3.18
Sb  0.5000  0.5000  0.5000  8 Pm 3.23-3.38

***

# 2
This record from Alexandria describes an optimized crystal structure of Pm2ZnSb4. The functional is PBE.

Summary:
As for the total magnetic moment: 0.0 μB per formula unit. As for the density of states at the Fermi level: 2.57 states/eV/cell. Its formation energy (no corrections) is -0.720 eV per atom.

Lattice parameters (Å, degrees): 4.3932 4.3932 9.9921 90.00 90.00 90.00
Closest atoms and distances in Å follow each position.
Fractional positions:
Pm  0.0000  0.5000  0.2495  8 Sb 3.25-3.32, 2 Zn 3.33
Pm  0.5000  0.0000  0.7505  8 Sb 3.25-3.32, 2 Zn 3.33
Zn  0.0000  0.0000  0.5000  4 Sb 2.69
Sb  0.0000  0.0000  0.0000  4 Sb 3.11, 4 Pm 3.32
Sb  0.0000  0.5000  0.6559  2 Zn 2.69
Sb  0.5000  0.0000  0.3441  2 Zn 2.69
Sb  0.5000  0.5000  0.0000  4 Sb 3.11, 4 Pm 3.32

***

# 3
This record from Alexandria describes an optimized crystal structure of PmZn2Sb. The functional is PBE.

Summary:
As for the total magnetic moment: 0.0 μB per formula unit. As for the density of states at the Fermi level: 2.03 states/eV/cell. Its formation energy (no corrections) is -0.431 eV per atom.

Lattice parameters (Å, degrees): 4.4285 4.4285 4.6032 90.00 90.00 90.00
Closest atoms and distances in Å follow each position.
Fractional positions:
Pm  0.0000  0.0000  0.0000  4 Sb 3.13, 8 Zn 3.19
Zn  0.0000  0.5000  0.5000  4 Zn 3.13, 4 Sb 3.19, 4 Pm 3.19
Zn  0.5000  0.0000  0.5000  4 Zn 3.13, 4 Sb 3.19, 4 Pm 3.19
Sb  0.5000  0.5000  0.0000  4 Pm 3.13, 8 Zn 3.19

***

# 4
This record from Alexandria describes an optimized crystal structure of PmZr2Sb. The functional is PBE.

Summary:
As for the total magnetic moment: 0.0 μB per formula unit. As for the density of states at the Fermi level: 4.95 states/eV/cell. Its formation energy (no corrections) is -0.331 eV per atom.

Lattice parameters (Å, degrees): 4.6413 4.6413 4.5095 90.00 90.00 90.00
Closest atoms and distances in Å follow each position.
Fractional positions:
Pm  0.0000  0.0000  0.0000  8 Zr 3.24, 4 Sb 3.28
Zr  0.0000  0.5000  0.5000  4 Sb 3.24, 4 Pm 3.24, 4 Zr 3.28
Zr  0.5000  0.0000  0.5000  4 Sb 3.24, 4 Pm 3.24, 4 Zr 3.28
Sb  0.5000  0.5000  0.0000  8 Zr 3.24, 4 Pm 3.28